1.
# Re3Ni, relaxed, DFT GGA-PBE
# VASP energy in eV/atom: -10.74
# Energy of formation in meV/atom: -33
# Crystal system: trigonal
data_Re3Ni
_chemical_formula_sum 'Re15 Ni5'
_space_group_name_H-M_alt 'P 1'
_space_group_IT_number 1
_cell_length_a 11.387
_cell_length_b 11.387
_cell_length_c 11.387
_cell_angle_alpha 27.38
_cell_angle_beta 27.38
_cell_angle_gamma 27.38
loop_
_space_group_symop_operation_xyz
'x,y,z'
loop_
_atom_site_label
_atom_site_fract_x
_atom_site_fract_y
_atom_site_fract_z
Re1 0.000 0.500 0.500
Re2 0.099 0.099 0.602
Re3 0.099 0.602 0.099
Re4 0.132 0.632 0.632
Re5 0.368 0.368 0.868
Re6 0.368 0.868 0.368
Re7 0.398 0.901 0.901
Re8 0.500 0.000 0.500
Re9 0.500 0.500 0.000
Re10 0.602 0.099 0.099
Re11 0.632 0.132 0.632
Re12 0.632 0.632 0.132
Re13 0.868 0.368 0.368
Re14 0.901 0.398 0.901
Re15 0.901 0.901 0.398
Ni1 0.000 0.000 0.000
Ni2 0.134 0.134 0.134
Ni3 0.400 0.400 0.400
Ni4 0.600 0.600 0.600
Ni5 0.866 0.866 0.866

***

2.
# ReNi2, relaxed, DFT GGA-PBE
# VASP energy in eV/atom: -7.68
# Energy of formation in meV/atom: 177
# Crystal system: hexagonal
data_ReNi2
_chemical_formula_sum 'Re8 Ni16'
_space_group_name_H-M_alt 'P 1'
_space_group_IT_number 1
_cell_length_a 4.629
_cell_length_b 4.629
_cell_length_c 16.060
_cell_angle_alpha 90.00
_cell_angle_beta 90.00
_cell_angle_gamma 120.00
loop_
_space_group_symop_operation_xyz
'x,y,z'
loop_
_atom_site_label
_atom_site_fract_x
_atom_site_fract_y
_atom_site_fract_z
Re1 0.333 0.667 0.127
Re2 0.333 0.667 0.373
Re3 0.333 0.667 0.648
Re4 0.333 0.667 0.852
Re5 0.667 0.333 0.148
Re6 0.667 0.333 0.352
Re7 0.667 0.333 0.627
Re8 0.667 0.333 0.873
Ni1 0.000 0.000 0.092
Ni2 0.000 0.000 0.408
Ni3 0.000 0.000 0.592
Ni4 0.000 0.000 0.908
Ni5 0.000 0.500 0.000
Ni6 0.000 0.500 0.500
Ni7 0.162 0.324 0.250
Ni8 0.162 0.838 0.250
Ni9 0.324 0.162 0.750
Ni10 0.500 0.000 0.000
Ni11 0.500 0.000 0.500
Ni12 0.500 0.500 0.000
Ni13 0.500 0.500 0.500
Ni14 0.676 0.838 0.250
Ni15 0.838 0.162 0.750
Ni16 0.838 0.676 0.750

***

3.
# Re2Ni, relaxed, DFT GGA-PBE
# VASP energy in eV/atom: -9.55
# Energy of formation in meV/atom: 586
# Crystal system: hexagonal
data_Re2Ni
_chemical_formula_sum 'Re16 Ni8'
_space_group_name_H-M_alt 'P 1'
_space_group_IT_number 1
_cell_length_a 5.085
_cell_length_b 5.085
_cell_length_c 16.417
_cell_angle_alpha 90.00
_cell_angle_beta 90.00
_cell_angle_gamma 120.00
loop_
_space_group_symop_operation_xyz
'x,y,z'
loop_
_atom_site_label
_atom_site_fract_x
_atom_site_fract_y
_atom_site_fract_z
Re1 0.000 0.500 0.000
Re2 0.000 0.500 0.500
Re3 0.158 0.316 0.250
Re4 0.158 0.842 0.250
Re5 0.316 0.158 0.750
Re6 0.333 0.667 0.129
Re7 0.333 0.667 0.371
Re8 0.500 0.000 0.000
Re9 0.500 0.000 0.500
Re10 0.500 0.500 0.000
Re11 0.500 0.500 0.500
Re12 0.667 0.333 0.629
Re13 0.667 0.333 0.871
Re14 0.684 0.842 0.250
Re15 0.842 0.158 0.750
Re16 0.842 0.684 0.750
Ni1 0.000 0.000 0.079
Ni2 0.000 0.000 0.421
Ni3 0.000 0.000 0.579
Ni4 0.000 0.000 0.921
Ni5 0.333 0.667 0.654
Ni6 0.333 0.667 0.846
Ni7 0.667 0.333 0.154
Ni8 0.667 0.333 0.346

***

4.
# Re3Ni2, relaxed, DFT GGA-PBE
# VASP energy in eV/atom: -9.43
# Energy of formation in meV/atom: 249
# Crystal system: tetragonal
data_Re3Ni2
_chemical_formula_sum 'Re18 Ni12'
_space_group_name_H-M_alt 'P 1'
_space_group_IT_number 1
_cell_length_a 9.160
_cell_length_b 9.160
_cell_length_c 4.936
_cell_angle_alpha 90.00
_cell_angle_beta 90.00
_cell_angle_gamma 90.00
loop_
_space_group_symop_operation_xyz
'x,y,z'
loop_
_atom_site_label
_atom_site_fract_x
_atom_site_fract_y
_atom_site_fract_z
Re1 0.000 0.000 0.000
Re2 0.068 0.270 0.000
Re3 0.181 0.819 0.251
Re4 0.181 0.819 0.749
Re5 0.230 0.568 0.500
Re6 0.270 0.068 0.000
Re7 0.319 0.319 0.249
Re8 0.319 0.319 0.751
Re9 0.432 0.770 0.500
Re10 0.500 0.500 0.500
Re11 0.568 0.230 0.500
Re12 0.681 0.681 0.249
Re13 0.681 0.681 0.751
Re14 0.730 0.932 0.000
Re15 0.770 0.432 0.500
Re16 0.819 0.181 0.251
Re17 0.819 0.181 0.749
Re18 0.932 0.730 0.000
Ni1 0.041 0.368 0.500
Ni2 0.101 0.101 0.500
Ni3 0.132 0.541 0.000
Ni4 0.368 0.041 0.500
Ni5 0.399 0.601 0.000
Ni6 0.459 0.868 0.000
Ni7 0.541 0.132 0.000
Ni8 0.601 0.399 0.000
Ni9 0.632 0.959 0.500
Ni10 0.868 0.459 0.000
Ni11 0.899 0.899 0.500
Ni12 0.959 0.632 0.500

***

5.
# Re5Ni, relaxed, DFT GGA-PBE
# VASP energy in eV/atom: -11.01
# Energy of formation in meV/atom: 268
# Crystal system: hexagonal
data_Re5Ni
_chemical_formula_sum 'Re10 Ni2'
_space_group_name_H-M_alt 'P 1'
_space_group_IT_number 1
_cell_length_a 5.041
_cell_length_b 5.041
_cell_length_c 7.914
_cell_angle_alpha 90.00
_cell_angle_beta 90.00
_cell_angle_gamma 120.00
loop_
_space_group_symop_operation_xyz
'x,y,z'
loop_
_atom_site_label
_atom_site_fract_x
_atom_site_fract_y
_atom_site_fract_z
Re1 0.170 0.340 0.250
Re2 0.170 0.830 0.250
Re3 0.333 0.667 0.567
Re4 0.333 0.667 0.933
Re5 0.340 0.170 0.750
Re6 0.660 0.830 0.250
Re7 0.667 0.333 0.067
Re8 0.667 0.333 0.433
Re9 0.830 0.170 0.750
Re10 0.830 0.660 0.750
Ni1 0.000 0.000 0.000
Ni2 0.000 0.000 0.500

***

6.
# ReNi2, relaxed, DFT GGA-PBE
# VASP energy in eV/atom: -7.47
# Energy of formation in meV/atom: 385
# Crystal system: orthorhombic
data_ReNi2
_chemical_formula_sum 'Re4 Ni8'
_space_group_name_H-M_alt 'P 1'
_space_group_IT_number 1
_cell_length_a 4.839
_cell_length_b 4.839
_cell_length_c 7.600
_cell_angle_alpha 90.00
_cell_angle_beta 90.00
_cell_angle_gamma 118.00
loop_
_space_group_symop_operation_xyz
'x,y,z'
loop_
_atom_site_label
_atom_site_fract_x
_atom_site_fract_y
_atom_site_fract_z
Re1 0.145 0.328 0.250
Re2 0.328 0.145 0.750
Re3 0.672 0.855 0.250
Re4 0.855 0.672 0.750
Ni1 0.161 0.839 0.079
Ni2 0.161 0.839 0.421
Ni3 0.336 0.664 0.750
Ni4 0.500 0.500 0.000
Ni5 0.500 0.500 0.500
Ni6 0.664 0.336 0.250
Ni7 0.839 0.161 0.579
Ni8 0.839 0.161 0.921

***

7.
# ReNi2, relaxed, DFT GGA-PBE
# VASP energy in eV/atom: -7.77
# Energy of formation in meV/atom: 87
# Crystal system: tetragonal
data_ReNi2
_chemical_formula_sum 'Re10 Ni20'
_space_group_name_H-M_alt 'P 1'
_space_group_IT_number 1
_cell_length_a 8.943
_cell_length_b 8.943
_cell_length_c 4.572
_cell_angle_alpha 90.00
_cell_angle_beta 90.00
_cell_angle_gamma 90.00
loop_
_space_group_symop_operation_xyz
'x,y,z'
loop_
_atom_site_label
_atom_site_fract_x
_atom_site_fract_y
_atom_site_fract_z
Re1 0.000 0.000 0.000
Re2 0.039 0.370 0.500
Re3 0.130 0.539 0.000
Re4 0.370 0.039 0.500
Re5 0.461 0.870 0.000
Re6 0.500 0.500 0.500
Re7 0.539 0.130 0.000
Re8 0.630 0.961 0.500
Re9 0.870 0.461 0.000
Re10 0.961 0.630 0.500
Ni1 0.067 0.255 0.000
Ni2 0.096 0.096 0.500
Ni3 0.180 0.820 0.251
Ni4 0.180 0.820 0.749
Ni5 0.245 0.567 0.500
Ni6 0.255 0.067 0.000
Ni7 0.320 0.320 0.249
Ni8 0.320 0.320 0.751
Ni9 0.404 0.596 0.000
Ni10 0.433 0.755 0.500
Ni11 0.567 0.245 0.500
Ni12 0.596 0.404 0.000
Ni13 0.680 0.680 0.249
Ni14 0.680 0.680 0.751
Ni15 0.745 0.933 0.000
Ni16 0.755 0.433 0.500
Ni17 0.820 0.180 0.251
Ni18 0.820 0.180 0.749
Ni19 0.904 0.904 0.500
Ni20 0.933 0.745 0.000

***

8.
# ReNi2, relaxed, DFT GGA-PBE
# VASP energy in eV/atom: -7.80
# Energy of formation in meV/atom: 48
# Crystal system: hexagonal
data_ReNi2
_chemical_formula_sum 'Re4 Ni8'
_space_group_name_H-M_alt 'P 1'
_space_group_IT_number 1
_cell_length_a 4.634
_cell_length_b 4.634
_cell_length_c 7.550
_cell_angle_alpha 90.00
_cell_angle_beta 90.00
_cell_angle_gamma 120.00
loop_
_space_group_symop_operation_xyz
'x,y,z'
loop_
_atom_site_label
_atom_site_fract_x
_atom_site_fract_y
_atom_site_fract_z
Re1 0.333 0.667 0.060
Re2 0.333 0.667 0.440
Re3 0.667 0.333 0.560
Re4 0.667 0.333 0.940
Ni1 0.000 0.000 0.000
Ni2 0.000 0.000 0.500
Ni3 0.170 0.340 0.750
Ni4 0.170 0.830 0.750
Ni5 0.340 0.170 0.250
Ni6 0.660 0.830 0.750
Ni7 0.830 0.170 0.250
Ni8 0.830 0.660 0.250